The following is a PBE calculation of an optimized crystal structure of Ca2ScIF, from Alexandria. Values from VASP.

Cell and atoms, written as Quantum ESPRESSO input:
```
&SYSTEM
  ibrav = 0, nat = 5, ntyp = 4
/
ATOMIC_SPECIES
Ca 40.08 Ca.upf
Sc 44.96 Sc.upf
I 126.90 I.upf
F 19.00 F.upf
CELL_PARAMETERS angstrom
6.102 0.000 0.000
0.000 6.102 0.000
0.000 0.000 5.267
ATOMIC_POSITIONS angstrom
Ca 0.000 3.051 0.000
Ca 3.051 0.000 0.000
Sc 0.000 0.000 2.634
I 0.000 0.000 0.000
F 3.051 3.051 2.634
```

ΔE_f (raw) ... -0.081 eV per atom
Magnetization ... 3.54 μB per formula unit
Calculated volume ... 39.23 A^3/atom